[1]
First-principles (PBE-GGA) data for a relaxed structure of NiHgW, as listed in the Alexandria database.

a b c (Å): 4.450 4.450 2.756
angles (deg): 90.00 90.00 120.00
Fractional positions:
Ni: 0.000 0.000 0.000
Hg: 0.333 0.667 0.843
W: 0.667 0.333 0.363

Computed properties:
Energy relative to the lowest polymorph listed for this composition ... 292 meV/atom
E_form ... 15.41 kcal/mol of atoms

---

[2]
First-principles (PBE-GGA) data for a relaxed structure of Sm7Bi2Pt2, as listed in the Alexandria database.

a b c (Å): 7.156 7.156 7.095
angles (deg): 90.00 90.00 103.82
Fractional positions:
Sm: 0.000 0.000 0.000
Sm: 0.000 0.500 0.251
Sm: 0.000 0.500 0.749
Sm: 0.500 0.000 0.251
Sm: 0.500 0.000 0.749
Sm: 0.500 0.500 0.235
Sm: 0.500 0.500 0.765
Bi: 0.192 0.192 0.500
Bi: 0.808 0.808 0.500
Pt: 0.277 0.723 0.000
Pt: 0.723 0.277 0.000

Computed properties:
E_form ... -14.18 kcal/mol of atoms

---

[3]
First-principles (PBE-GGA) data for a relaxed structure of Er2ZrH, as listed in the Alexandria database.

a b c (Å): 3.236 3.236 8.002
angles (deg): 90.00 90.00 90.00
Fractional positions:
Er: 0.000 0.000 0.205
Er: 0.000 0.000 0.795
Zr: 0.500 0.500 0.500
H: 0.500 0.500 0.000

Computed properties:
Energy relative to the lowest polymorph listed for this composition ... 7 meV/atom

---

[4]
First-principles (PBE-GGA) data for a relaxed structure of Y2CuOs, as listed in the Alexandria database.

a b c (Å): 3.001 5.229 10.756
angles (deg): 90.00 90.00 90.00
Fractional positions:
Y: 0.000 0.000 0.249
Y: 0.000 0.000 0.751
Y: 0.500 0.500 0.251
Y: 0.500 0.500 0.749
Cu: 0.000 0.000 0.500
Cu: 0.500 0.500 0.000
Os: 0.000 0.000 0.000
Os: 0.500 0.500 0.500

Computed properties:
E_form ... 21.57 kcal/mol of atoms

---

[5]
First-principles (PBE-GGA) data for a relaxed structure of CuIr2Rh9, as listed in the Alexandria database.

a b c (Å): 3.842 3.842 11.504
angles (deg): 90.00 90.00 90.00
Fractional positions:
Cu: 0.000 0.000 0.000
Ir: 0.000 0.000 0.329
Ir: 0.000 0.000 0.671
Rh: 0.000 0.500 0.166
Rh: 0.000 0.500 0.500
Rh: 0.000 0.500 0.834
Rh: 0.500 0.000 0.166
Rh: 0.500 0.000 0.500
Rh: 0.500 0.000 0.834
Rh: 0.500 0.500 0.000
Rh: 0.500 0.500 0.335
Rh: 0.500 0.500 0.665

Computed properties:
E_form ... 0.40 kcal/mol of atoms

---

[6]
First-principles (PBE-GGA) data for a relaxed structure of TlCo2Pb, as listed in the Alexandria database.

a b c (Å): 3.275 3.275 23.522
angles (deg): 90.00 90.00 120.00
Fractional positions:
Tl: 0.000 0.000 0.000
Tl: 0.333 0.667 0.667
Tl: 0.667 0.333 0.333
Co: 0.000 0.000 0.250
Co: 0.000 0.000 0.750
Co: 0.333 0.667 0.417
Co: 0.333 0.667 0.917
Co: 0.667 0.333 0.083
Co: 0.667 0.333 0.583
Pb: 0.000 0.000 0.500
Pb: 0.333 0.667 0.167
Pb: 0.667 0.333 0.833

Computed properties:
E_form ... 15.56 kcal/mol of atoms

---

[7]
First-principles (PBE-GGA) data for a relaxed structure of BaMg2Co2, as listed in the Alexandria database.

a b c (Å): 4.478 4.478 11.078
angles (deg): 90.00 90.00 90.00
Fractional positions:
Ba: 0.000 0.000 0.000
Ba: 0.500 0.500 0.500
Mg: 0.000 0.500 0.250
Mg: 0.000 0.500 0.750
Mg: 0.500 0.000 0.250
Mg: 0.500 0.000 0.750
Co: 0.000 0.000 0.400
Co: 0.000 0.000 0.600
Co: 0.500 0.500 0.100
Co: 0.500 0.500 0.900

Computed properties:
Energy relative to the lowest polymorph listed for this composition ... 0 meV/atom
E_form ... 6.47 kcal/mol of atoms

---

[8]
First-principles (PBE-GGA) data for a relaxed structure of HBr, as listed in the Alexandria database.

a b c (Å): 10.087 8.127 6.881
angles (deg): 84.02 53.26 42.72
Fractional positions:
H: 0.124 0.124 0.626
H: 0.374 0.374 0.876
H: 0.626 0.626 0.124
H: 0.876 0.876 0.374
Br: 0.030 0.720 0.030
Br: 0.280 0.970 0.280
Br: 0.720 0.030 0.720
Br: 0.970 0.280 0.970

Computed properties:
Final energy ... -2.718 eV per atom